# PBE CaAlTe3, relaxed
# Distance to the lowest polymorph of the same formula = 2.89 eV/f.u.
# Energy relative to the elements, uncorrected = 0.17 eV/atom
# Total magnetic moment = 0.0 μB per formula unit
data_CaAlTe3
_chemical_formula_sum 'Ca1 Al1 Te3'
_cell_length_a 5.8700
_cell_length_b 5.8700
_cell_length_c 5.8700
_cell_angle_alpha 90.00
_cell_angle_beta 90.00
_cell_angle_gamma 90.00
_symmetry_space_group_name_H-M 'P 1'
_symmetry_Int_Tables_number 1
_symmetry_space_group_name_Hall 'P 1'
loop_
_atom_site_label
_atom_site_type_symbol
_atom_site_fract_x
_atom_site_fract_y
_atom_site_fract_z
_atom_site_occupancy
Al1 Al 0.5000 0.5000 0.5000 1
Te1 Te 0.5000 0.0000 0.0000 1
Te2 Te 0.0000 0.5000 0.0000 1
Te3 Te 0.0000 0.0000 0.5000 1
Ca1 Ca 0.0000 0.0000 0.0000 1

# PBE Ca4AlTe, relaxed
# Energy relative to the elements, uncorrected = 0.13 eV/atom
# Total magnetic moment = 0.0 μB per formula unit
data_Ca4AlTe
_chemical_formula_sum 'Ca4 Al1 Te1'
_cell_length_a 6.5757
_cell_length_b 6.5757
_cell_length_c 6.5757
_cell_angle_alpha 60.00
_cell_angle_beta 60.00
_cell_angle_gamma 60.00
_symmetry_space_group_name_H-M 'P 1'
_symmetry_Int_Tables_number 1
_symmetry_space_group_name_Hall 'P 1'
loop_
_atom_site_label
_atom_site_type_symbol
_atom_site_fract_x
_atom_site_fract_y
_atom_site_fract_z
_atom_site_occupancy
Ca1 Ca 0.3748 0.8755 0.3748 1
Ca2 Ca 0.3748 0.3748 0.3748 1
Ca3 Ca 0.8755 0.3748 0.3748 1
Ca4 Ca 0.3748 0.3748 0.8755 1
Al1 Al 0.0000 0.0000 0.0000 1
Te1 Te 0.7500 0.7500 0.7500 1

# PBE CaAl4Te7, relaxed
# Energy relative to the elements, uncorrected = -0.60 eV/atom
# Total magnetic moment = 0.0 μB per formula unit
data_CaAl4Te7
_chemical_formula_sum 'Ca2 Al8 Te14'
_cell_length_a 7.0421
_cell_length_b 7.1682
_cell_length_c 17.2285
_cell_angle_alpha 90.00
_cell_angle_beta 90.00
_cell_angle_gamma 90.00
_symmetry_space_group_name_H-M 'P 1'
_symmetry_Int_Tables_number 1
_symmetry_space_group_name_Hall 'P 1'
loop_
_atom_site_label
_atom_site_type_symbol
_atom_site_fract_x
_atom_site_fract_y
_atom_site_fract_z
_atom_site_occupancy
Te1 Te 0.4813 0.2711 0.3872 1
Te2 Te 0.0114 0.7060 0.3843 1
Te3 Te 0.5114 0.2940 0.8843 1
Te4 Te 0.4885 0.7993 0.2528 1
Te5 Te 0.5114 0.2940 0.1157 1
Te6 Te 0.9494 0.1985 0.5000 1
Te7 Te 0.9885 0.2007 0.2472 1
Te8 Te 0.9813 0.7289 0.1128 1
Te9 Te 0.9813 0.7289 0.8872 1
Te10 Te 0.9885 0.2007 0.7528 1
Te11 Te 0.4494 0.8015 0.0000 1
Te12 Te 0.4813 0.2711 0.6128 1
Te13 Te 0.4885 0.7993 0.7472 1
Te14 Te 0.0114 0.7060 0.6157 1
Al1 Al 0.6054 0.1550 0.2508 1
Al2 Al 0.6054 0.1550 0.7492 1
Al3 Al 0.6169 0.6467 0.8788 1
Al4 Al 0.1054 0.8450 0.2492 1
Al5 Al 0.1169 0.3533 0.3788 1
Al6 Al 0.1169 0.3533 0.6212 1
Al7 Al 0.6169 0.6467 0.1212 1
Al8 Al 0.1054 0.8450 0.7508 1
Ca1 Ca 0.7984 0.0593 0.0000 1
Ca2 Ca 0.2984 0.9407 0.5000 1

# PBE CaTiAl2Te, relaxed
# Energy relative to the elements, uncorrected = 0.58 eV/atom
# Total magnetic moment = 1.6 μB per formula unit
data_CaTiAl2Te
_chemical_formula_sum 'Ca1 Ti1 Al2 Te1'
_cell_length_a 5.4370
_cell_length_b 5.1065
_cell_length_c 5.4370
_cell_angle_alpha 90.00
_cell_angle_beta 90.00
_cell_angle_gamma 90.00
_symmetry_space_group_name_H-M 'P 1'
_symmetry_Int_Tables_number 1
_symmetry_space_group_name_Hall 'P 1'
loop_
_atom_site_label
_atom_site_type_symbol
_atom_site_fract_x
_atom_site_fract_y
_atom_site_fract_z
_atom_site_occupancy
Te1 Te 0.0000 0.0000 0.0000 1
Ca1 Ca 0.5000 0.5000 0.5000 1
Al1 Al 0.0000 0.0000 0.5000 1
Al2 Al 0.5000 0.0000 0.0000 1
Ti1 Ti 0.0000 0.5000 0.0000 1

# PBE CaThAl, relaxed
# Distance to the lowest polymorph of the same formula = 0.00 eV/f.u.
# Energy relative to the elements = -0.06 eV/atom
# Total magnetic moment = 0.0 μB per formula unit
data_CaThAl
_chemical_formula_sum 'Ca1 Th1 Al1'
_cell_length_a 3.4883
_cell_length_b 3.4883
_cell_length_c 7.6120
_cell_angle_alpha 103.25
_cell_angle_beta 103.25
_cell_angle_gamma 90.00
_symmetry_space_group_name_H-M 'P 1'
_symmetry_Int_Tables_number 1
_symmetry_space_group_name_Hall 'P 1'
loop_
_atom_site_label
_atom_site_type_symbol
_atom_site_fract_x
_atom_site_fract_y
_atom_site_fract_z
_atom_site_occupancy
Th1 Th 0.3091 0.3091 0.6181 1
Al1 Al 0.6683 0.6683 0.3367 1
Ca1 Ca 0.0226 0.0226 0.0452 1

# PBE CaThAl, relaxed
# Distance to the lowest polymorph of the same formula = 0.05 eV/f.u.
# Energy relative to the elements = -0.05 eV/atom
# Total magnetic moment = 0.0 μB per formula unit
data_CaThAl
_chemical_formula_sum 'Ca2 Th2 Al2'
_cell_length_a 3.4754
_cell_length_b 5.5617
_cell_length_c 9.3187
_cell_angle_alpha 90.00
_cell_angle_beta 100.75
_cell_angle_gamma 90.00
_symmetry_space_group_name_H-M 'P 1'
_symmetry_Int_Tables_number 1
_symmetry_space_group_name_Hall 'P 1'
loop_
_atom_site_label
_atom_site_type_symbol
_atom_site_fract_x
_atom_site_fract_y
_atom_site_fract_z
_atom_site_occupancy
Al1 Al 0.9310 0.7500 0.8621 1
Al2 Al 0.0690 0.2500 0.1379 1
Ca1 Ca 0.2887 0.7500 0.5774 1
Ca2 Ca 0.7113 0.2500 0.4226 1
Th1 Th 0.5772 0.7500 0.1543 1
Th2 Th 0.4228 0.2500 0.8457 1